[1]
MnZnCdTe3 | the Alexandria database | PBE | optimized geometry; space-group type = No. 44; volume = 194.4 Å³/cell; formation energy without anion corrections = -2.0 eV per formula unit
1.0
-4.530 8.054 -4.098
-7.018 2.810 -6.711
3.560 -5.511 7.690
Zn Mn Te Cd
1 1 3 1
Cartesian
-3.818 3.591 -3.573
-7.743 7.284 -7.248
-3.398 4.012 -0.931
-2.769 -0.372 -0.484
-6.441 3.082 -3.921
-11.531 10.848 -10.793


[2]
NaCu2Sn4 | the Alexandria database | PBE | optimized geometry; space-group type = No. 62; volume = 628.8 Å³/cell; ΔH_f (0 K) = -0.06 eV/atom
1.0
4.548 0.000 0.000
0.000 7.330 0.000
0.000 0.000 18.860
Na Cu Sn
4 8 16
Cartesian
3.411 7.151 12.115
1.137 0.179 6.746
1.137 3.486 16.176
3.411 3.844 2.685
1.137 5.504 10.192
3.411 1.826 8.669
3.411 1.839 18.099
1.137 5.491 0.761
1.137 7.074 14.806
3.411 0.257 4.054
3.411 3.409 13.485
1.137 3.922 5.376
1.137 1.903 13.071
3.411 5.427 5.789
3.411 5.568 15.220
1.137 1.762 3.641
1.137 4.997 12.890
3.411 2.333 5.971
3.411 1.332 15.401
1.137 5.999 3.460
1.137 0.977 10.025
3.411 6.353 8.835
3.411 4.642 18.265
1.137 2.688 0.595
1.137 3.588 8.170
3.411 3.743 10.691
3.411 7.253 1.261
1.137 0.078 17.600


In order of appearance, uncorrected energy = -3.796 -3.704 eV/atom.